[1]
DFT (PBE-GGA) results for crystalline Na2RuO4 at its relaxed geometry.

Lattice parameters (Å, degrees): 6.516 6.516 6.520 59.98 59.98 90.00
Site moments in Bohr magnetons follow the coordinates.
Positions (direct):
Na  0.500  0.000  0.000  0.01
Na  0.500  0.500  0.500  0.01
Na  0.000  0.000  0.000  0.01
Na  0.500  0.000  0.500  0.01
O  0.762  0.738  0.524  0.18
O  0.214  0.738  0.524  0.18
O  0.786  0.262  0.476  0.18
O  0.238  0.714  0.024  0.18
O  0.238  0.262  0.024  0.18
O  0.238  0.262  0.476  0.18
O  0.762  0.286  0.976  0.18
O  0.762  0.738  0.976  0.18
Ru  0.125  0.375  0.250  1.07
Ru  0.875  0.625  0.750  1.07

Summary:
- DFT total energy (eV/atom) = -5.770
- formation energy without anion corrections (eV/atom) = -1.235
- energy above the lowest structure with this stoichiometry (meV per atom) = 42
- calculated density (Mg/m³) = 3.582

---

[2]
DFT (PBE-GGA) results for crystalline NaRuO3 at its relaxed geometry.

Lattice parameters (Å, degrees): 5.334 5.334 6.007 103.17 103.17 118.15
Positions (direct):
O  0.914  0.298  0.812
O  0.501  0.501  0.795
O  0.086  0.702  0.188
O  0.702  0.086  0.188
O  0.499  0.499  0.205
O  0.298  0.914  0.812
Ru  0.670  0.330  0.000
Ru  0.330  0.670  0.000
Na  0.810  0.810  0.632
Na  0.190  0.190  0.368

Summary:
- DFT total energy (eV/atom) = -6.263
- formation energy without anion corrections (eV/atom) = -1.169
- calculated density (Mg/m³) = 4.230

---

[3]
DFT (PBE-GGA) results for crystalline Na2Ru2O7 at its relaxed geometry.

Lattice parameters (Å, degrees): 5.622 5.952 5.952 115.85 84.05 84.05
Positions (direct):
O  0.189  0.569  0.569
O  0.710  0.639  0.935
O  0.811  0.431  0.431
O  0.290  0.065  0.361
O  0.290  0.361  0.065
O  0.710  0.935  0.639
O  0.000  0.000  0.000
Ru  0.882  0.747  0.747
Ru  0.118  0.253  0.253
Na  0.500  0.682  0.318
Na  0.500  0.318  0.682

Summary:
- DFT total energy (eV/atom) = -6.206
- formation energy without anion corrections (eV/atom) = -1.125
- calculated density (Mg/m³) = 3.402

---

[4]
DFT (PBE-GGA) results for crystalline Na2RuO3 at its relaxed geometry.

Lattice parameters (Å, degrees): 5.418 5.512 5.512 116.54 101.67 101.67
Site moments in Bohr magnetons follow the coordinates.
Positions (direct):
Na  0.750  0.761  0.239  0.00
Na  0.750  0.082  0.918  0.01
Na  0.250  0.239  0.761  0.00
Na  0.250  0.918  0.082  0.01
O  0.000  0.500  0.000  0.21
O  0.006  0.759  0.628  0.13
O  0.506  0.628  0.759  0.13
O  0.494  0.372  0.241  0.13
O  0.500  0.000  0.500  0.21
O  0.994  0.241  0.372  0.13
Ru  0.250  0.590  0.410  1.41
Ru  0.750  0.410  0.590  1.41

Summary:
- DFT total energy (eV/atom) = -5.685
- formation energy without anion corrections (eV/atom) = -1.220
- energy above the lowest structure with this stoichiometry (meV per atom) = 85
- calculated density (Mg/m³) = 4.767

---

[5]
DFT (PBE-GGA) results for crystalline Na2RuO4 at its relaxed geometry.

Lattice parameters (Å, degrees): 3.848 3.848 6.656 73.20 73.20 90.00
Site moments in Bohr magnetons follow the coordinates.
Positions (direct):
O  0.500  0.000  0.000  0.04
O  0.844  0.844  0.312  0.25
O  0.000  0.500  0.000  0.04
O  0.156  0.156  0.688  0.25
Na  0.346  0.346  0.309  0.00
Na  0.654  0.654  0.691  0.00
Ru  0.000  0.000  0.000  0.72

Summary:
- DFT total energy (eV/atom) = -5.675
- formation energy without anion corrections (eV/atom) = -1.140
- energy above the lowest structure with this stoichiometry (meV per atom) = 137
- calculated density (Mg/m³) = 3.897

---

[6]
DFT (PBE-GGA) results for crystalline NaRu2O4 at its relaxed geometry.

Lattice parameters (Å, degrees): 2.814 9.525 11.307 90.00 90.00 90.00
Positions (direct):
Ru  0.750  0.940  0.117
Ru  0.750  0.440  0.383
Ru  0.250  0.085  0.395
Ru  0.250  0.585  0.105
Ru  0.750  0.415  0.895
Ru  0.750  0.915  0.605
Ru  0.250  0.060  0.883
Ru  0.250  0.560  0.617
O  0.750  0.528  0.222
O  0.750  0.414  0.562
O  0.750  0.709  0.661
O  0.750  0.914  0.938
O  0.250  0.586  0.438
O  0.250  0.890  0.473
O  0.250  0.472  0.778
O  0.250  0.086  0.062
O  0.250  0.972  0.722
O  0.750  0.209  0.839
O  0.250  0.291  0.339
O  0.750  0.028  0.278
O  0.750  0.110  0.527
O  0.250  0.390  0.027
O  0.250  0.791  0.161
O  0.750  0.610  0.973
Na  0.750  0.259  0.156
Na  0.250  0.241  0.656
Na  0.250  0.741  0.844
Na  0.750  0.759  0.344

Summary:
- DFT total energy (eV/atom) = -6.746
- formation energy without anion corrections (eV/atom) = -1.074
- calculated density (Mg/m³) = 6.337

---

[7]
DFT (PBE-GGA) results for crystalline Na4RuO5 at its relaxed geometry.

Lattice parameters (Å, degrees): 4.919 5.700 5.700 79.27 64.44 64.44
Site moments in Bohr magnetons follow the coordinates.
Positions (direct):
Na  0.609  0.600  0.203  0.01
Na  0.812  0.797  0.600  0.01
Na  0.412  0.400  0.797  0.01
Na  0.210  0.203  0.400  0.01
O  0.433  0.000  0.000  0.08
O  0.242  0.830  0.673  0.11
O  0.745  0.170  0.327  0.11
O  0.072  0.673  0.170  0.11
O  0.915  0.327  0.830  0.11
Ru  0.061  0.000  0.000  1.22

Summary:
- DFT total energy (eV/atom) = -5.249
- formation energy without anion corrections (eV/atom) = -1.314
- calculated density (Mg/m³) = 3.486

---

[8]
DFT (PBE-GGA) results for crystalline NaRuO3 at its relaxed geometry.

Lattice parameters (Å, degrees): 3.905 3.905 3.905 90.00 90.00 90.00
Site moments in Bohr magnetons follow the coordinates.
Positions (direct):
Na  0.000  0.000  0.000  -0.03
Ru  0.500  0.500  0.500  3.54
O  0.000  0.500  0.000  -0.37
O  0.500  0.000  0.000  -0.25
O  0.000  0.000  0.500  -0.31

Summary:
- DFT total energy (eV/atom) = -4.048
- formation energy without anion corrections (eV/atom) = 1.046
- calculated density (Mg/m³) = 4.798

---

[9]
DFT (PBE-GGA) results for crystalline Na3Ru2O8 at its relaxed geometry.

Lattice parameters (Å, degrees): 6.914 7.158 9.282 90.00 90.00 118.88
Site moments in Bohr magnetons follow the coordinates.
Positions (direct):
Na  0.380  0.260  0.750  0.01
Na  0.500  0.000  0.500  0.01
Na  0.880  0.260  0.750  0.01
Na  0.000  0.000  0.000  0.01
Na  0.620  0.740  0.250  0.01
Na  0.120  0.740  0.250  0.01
O  0.254  0.507  0.784  0.13
O  0.673  0.766  0.512  0.14
O  0.407  0.234  0.012  0.14
O  0.593  0.766  0.988  0.14
O  0.907  0.234  0.488  0.14
O  0.513  0.026  0.242  0.12
O  0.093  0.766  0.512  0.14
O  0.327  0.234  0.488  0.14
O  0.487  0.974  0.758  0.12
O  0.013  0.026  0.258  0.12
O  0.173  0.766  0.988  0.14
O  0.754  0.507  0.716  0.13
O  0.827  0.234  0.012  0.14
O  0.987  0.974  0.742  0.12
O  0.746  0.493  0.216  0.13
O  0.246  0.493  0.284  0.13
Ru  0.876  0.751  0.620  0.80
Ru  0.624  0.249  0.120  0.80
Ru  0.376  0.751  0.880  0.80
Ru  0.124  0.249  0.380  0.80

Summary:
- DFT total energy (eV/atom) = -5.945
- formation energy without anion corrections (eV/atom) = -1.162
- calculated density (Mg/m³) = 3.295

---

[10]
DFT (PBE-GGA) results for crystalline NaRu3O6 at its relaxed geometry.

Lattice parameters (Å, degrees): 5.175 7.081 7.081 114.98 90.00 90.00
Positions (direct):
O  0.445  0.185  0.815
O  0.703  0.485  0.150
O  0.177  0.759  0.615
O  0.677  0.241  0.385
O  0.203  0.150  0.485
O  0.177  0.385  0.241
O  0.820  0.043  0.957
O  0.320  0.957  0.043
O  0.203  0.515  0.850
O  0.703  0.850  0.515
O  0.945  0.815  0.185
O  0.677  0.615  0.759
Ru  0.021  0.753  0.881
Ru  0.954  0.644  0.356
Ru  0.021  0.119  0.247
Ru  0.521  0.881  0.753
Ru  0.454  0.356  0.644
Ru  0.521  0.247  0.119
Na  0.464  0.782  0.218
Na  0.964  0.218  0.782

Summary:
- DFT total energy (eV/atom) = -6.744
- formation energy without anion corrections (eV/atom) = -0.854
- calculated density (Mg/m³) = 5.962

---

[11]
DFT (PBE-GGA) results for crystalline Na2RuO3 at its relaxed geometry.

Lattice parameters (Å, degrees): 5.487 5.487 5.670 80.50 80.50 120.00
Site moments in Bohr magnetons follow the coordinates.
Positions (direct):
Na  0.340  0.660  0.500  0.00
Na  0.660  0.340  0.500  0.00
Na  0.500  0.500  0.000  0.01
Na  0.000  0.000  0.500  0.00
O  0.571  0.940  0.796  0.15
O  0.798  0.798  0.208  0.13
O  0.940  0.571  0.796  0.15
O  0.060  0.429  0.204  0.15
O  0.202  0.202  0.792  0.13
O  0.429  0.060  0.204  0.15
Ru  0.167  0.833  0.000  1.43
Ru  0.833  0.167  0.000  1.43

Summary:
- DFT total energy (eV/atom) = -5.766
- formation energy without anion corrections (eV/atom) = -1.301
- energy above the lowest structure with this stoichiometry (meV per atom) = 4
- calculated density (Mg/m³) = 4.641

---

[12]
DFT (PBE-GGA) results for crystalline NaRuO3 at its relaxed geometry.

Lattice parameters (Å, degrees): 3.830 3.830 3.830 90.00 90.00 90.00
Positions (direct):
O  0.000  0.000  0.500
O  0.000  0.500  0.000
O  0.500  0.000  0.000
Ru  0.000  0.000  0.000
Na  0.500  0.500  0.500

Summary:
- DFT total energy (eV/atom) = -6.187
- formation energy without anion corrections (eV/atom) = -1.093
- calculated density (Mg/m³) = 5.084

---

[13]
DFT (PBE-GGA) results for crystalline NaRuO4 at its relaxed geometry.

Lattice parameters (Å, degrees): 7.402 6.109 8.776 90.00 90.00 94.98
Site moments in Bohr magnetons follow the coordinates.
Positions (direct):
O  0.668  0.084  0.891  0.09
O  0.332  0.916  0.109  0.09
O  0.581  0.395  0.144  0.09
O  0.461  0.247  0.439  0.10
O  0.961  0.747  0.061  0.10
O  0.702  0.999  0.270  0.10
O  0.798  0.501  0.770  0.10
O  0.298  0.001  0.730  0.10
O  0.168  0.584  0.609  0.09
O  0.419  0.605  0.856  0.09
O  0.039  0.253  0.939  0.10
O  0.919  0.105  0.644  0.09
O  0.832  0.416  0.391  0.09
O  0.539  0.753  0.561  0.10
O  0.202  0.499  0.230  0.10
O  0.081  0.895  0.356  0.09
Na  0.636  0.763  0.049  0.00
Na  0.364  0.237  0.951  0.00
Na  0.864  0.737  0.549  0.00
Na  0.136  0.263  0.451  0.00
Ru  0.643  0.263  0.312  0.52
Ru  0.857  0.237  0.812  0.52
Ru  0.143  0.763  0.188  0.52
Ru  0.357  0.737  0.688  0.52

Summary:
- DFT total energy (eV/atom) = -6.116
- formation energy without anion corrections (eV/atom) = -1.044
- energy above the lowest structure with this stoichiometry (meV per atom) = 0
- calculated density (Mg/m³) = 3.160

---

[14]
DFT (PBE-GGA) results for crystalline NaRu2O8 at its relaxed geometry.

Lattice parameters (Å, degrees): 4.689 4.689 6.092 90.00 90.00 90.00
Site moments in Bohr magnetons follow the coordinates.
Positions (direct):
O  0.250  0.750  0.806  0.34
O  0.750  0.250  0.194  0.34
O  0.250  0.250  0.194  0.34
O  0.750  0.750  0.806  0.34
O  0.750  0.250  0.806  0.34
O  0.250  0.250  0.806  0.34
O  0.250  0.750  0.194  0.34
O  0.750  0.750  0.194  0.34
Ru  0.500  0.000  0.000  0.57
Ru  0.000  0.500  0.000  0.57
Na  0.500  0.500  0.500  0.00

Summary:
- DFT total energy (eV/atom) = -5.683
- formation energy without anion corrections (eV/atom) = -0.271
- energy above the lowest structure with this stoichiometry (meV per atom) = 547
- calculated density (Mg/m³) = 4.377

---

[15]
DFT (PBE-GGA) results for crystalline Na2RuO3 at its relaxed geometry.

Lattice parameters (Å, degrees): 5.572 5.572 9.986 100.80 100.80 109.15
Site moments in Bohr magnetons follow the coordinates.
Positions (direct):
Na  0.995  0.495  0.991  0.01
Na  0.745  0.745  0.491  0.01
Na  0.579  0.579  0.159  0.00
Na  0.671  0.171  0.341  0.00
Na  0.829  0.329  0.659  0.00
Na  0.505  0.005  0.009  0.01
Na  0.255  0.255  0.509  0.01
Na  0.421  0.421  0.841  0.00
O  0.297  0.843  0.184  0.14
O  0.953  0.907  0.316  0.14
O  0.659  0.112  0.816  0.14
O  0.157  0.703  0.816  0.14
O  0.362  0.409  0.316  0.14
O  0.093  0.047  0.684  0.14
O  0.047  0.547  0.500  0.15
O  0.203  0.203  0.000  0.15
O  0.591  0.638  0.684  0.14
O  0.888  0.341  0.184  0.14
O  0.797  0.797  0.000  0.15
O  0.453  0.953  0.500  0.15
Ru  0.084  0.084  0.168  1.43
Ru  0.334  0.834  0.668  1.43
Ru  0.916  0.916  0.832  1.43
Ru  0.166  0.666  0.332  1.43

Summary:
- DFT total energy (eV/atom) = -5.770
- formation energy without anion corrections (eV/atom) = -1.305
- energy above the lowest structure with this stoichiometry (meV per atom) = 0
- calculated density (Mg/m³) = 4.674

---

[16]
DFT (PBE-GGA) results for crystalline NaRuO3 at its relaxed geometry.

Lattice parameters (Å, degrees): 6.103 6.246 6.366 90.00 90.00 90.00
Positions (direct):
Ru  0.954  0.065  0.750
Ru  0.546  0.565  0.250
Ru  0.454  0.435  0.750
Ru  0.046  0.935  0.250
Na  0.000  0.500  0.000
Na  0.000  0.500  0.500
Na  0.500  0.000  0.000
Na  0.500  0.000  0.500
O  0.121  0.876  0.941
O  0.843  0.693  0.250
O  0.379  0.376  0.441
O  0.621  0.624  0.941
O  0.879  0.124  0.441
O  0.343  0.807  0.250
O  0.121  0.876  0.559
O  0.657  0.193  0.750
O  0.621  0.624  0.559
O  0.379  0.376  0.059
O  0.879  0.124  0.059
O  0.157  0.307  0.750

Summary:
- DFT total energy (eV/atom) = -5.972
- formation energy without anion corrections (eV/atom) = -0.878
- calculated density (Mg/m³) = 4.710

---

[17]
DFT (PBE-GGA) results for crystalline NaRu2O at its relaxed geometry.

Lattice parameters (Å, degrees): 5.743 5.743 6.435 63.50 63.50 90.00
Site moments in Bohr magnetons follow the coordinates.
Positions (direct):
O  0.250  0.750  0.500  0.00
O  0.500  0.500  0.000  0.00
Na  0.750  0.250  0.500  0.00
Na  0.000  0.000  0.000  0.00
Ru  0.375  0.625  0.750  0.34
Ru  0.375  0.625  0.250  0.51
Ru  0.375  0.125  0.250  0.51
Ru  0.875  0.625  0.750  0.39

Summary:
- DFT total energy (eV/atom) = -5.744
- formation energy without anion corrections (eV/atom) = 0.463
- calculated density (Mg/m³) = 4.864

---

[18]
DFT (PBE-GGA) results for crystalline NaRuO4 at its relaxed geometry.

Lattice parameters (Å, degrees): 5.366 5.363 7.097 112.19 112.20 90.03
Positions (direct):
O  0.337  0.195  0.912
O  0.075  0.717  0.912
O  0.195  0.075  0.412
O  0.663  0.805  0.088
O  0.925  0.283  0.088
O  0.805  0.925  0.588
O  0.283  0.663  0.588
O  0.717  0.337  0.412
Ru  0.875  0.125  0.250
Ru  0.125  0.875  0.750
Na  0.625  0.375  0.750
Na  0.375  0.625  0.250

Summary:
- DFT total energy (eV/atom) = -6.112
- formation energy without anion corrections (eV/atom) = -1.041
- energy above the lowest structure with this stoichiometry (meV per atom) = 4
- calculated density (Mg/m³) = 3.618

---

[19]
DFT (PBE-GGA) results for crystalline Na3RuO at its relaxed geometry.

Lattice parameters (Å, degrees): 4.643 4.643 4.643 90.00 90.00 90.00
Site moments in Bohr magnetons follow the coordinates.
Positions (direct):
Na  0.500  0.000  0.000  0.00
Na  0.000  0.000  0.500  -0.01
Na  0.000  0.500  0.000  0.00
O  0.000  0.000  0.000  0.18
Ru  0.500  0.500  0.500  2.41

Summary:
- DFT total energy (eV/atom) = -3.440
- formation energy without anion corrections (eV/atom) = 0.198
- calculated density (Mg/m³) = 3.087